First-principles (PBE-GGA) data for a geometry-optimized Ba2YTe structure, as listed in the Alexandria database.

Formation energy without anion corrections (eV per atom): -0.353
E (eV per cell): -14.86
Space-group type: I-4m2 (119)
Crystal system: tetragonal
Magnetic moment (μB/f.u.): 0.0
Density of states at the Fermi level (states/eV/f.u.): 5.03

Cell: 7.0644 7.0644 7.0644 Å, 137.39 137.39 61.84°
Last column: nearest neighbours and their distance in Å.
Element x y z (fractional)
Ba (0.0000, 0.0000, 0.0000)  4 Te 3.63, 4 Y 3.97, 4 Ba 3.97
Ba (0.2500, 0.7500, 0.5000)  4 Y 3.63, 4 Ba 3.97, 4 Te 3.97
Te (0.5000, 0.5000, 0.0000)  8 Ba 3.63-3.97, 4 Y 3.97
Y (0.7500, 0.2500, 0.5000)  8 Ba 3.63-3.97, 4 Te 3.97

First-principles (PBE-GGA) data for a geometry-optimized Mg2GaSn structure, as listed in the Alexandria database.

Formation energy from the elements (meV/atom): -100
E (eV per cell): -21.24
Space-group type: P2_1/m (11)
Crystal system: monoclinic
Magnetic moment (μB/f.u.): 0.0
Density of states at the Fermi level (states/eV/f.u.): 1.54

Cell: 4.3247 5.0973 8.5644 Å, 105.29 90.00 90.00°
Last column: nearest neighbours and their distance in Å.
Element x y z (fractional)
Mg (0.7500, 0.2575, 0.4634)  4 Sn 2.91-3.10, 3 Ga 2.98-3.03, 2 Mg 3.22
Mg (0.2500, 0.7425, 0.5366)  4 Sn 2.91-3.10, 3 Ga 2.98-3.03, 2 Mg 3.22
Mg (0.2500, 0.7720, 0.0310)  3 Ga 2.80-3.04, 3 Sn 3.01-3.08
Mg (0.7500, 0.2280, 0.9690)  3 Ga 2.80-3.04, 3 Sn 3.01-3.08
Ga (0.2500, 0.3085, 0.2262)  6 Mg 2.80-3.04, 2 Sn 2.88
Ga (0.7500, 0.6915, 0.7738)  6 Mg 2.80-3.04, 2 Sn 2.88
Sn (0.7500, 0.6932, 0.2709)  2 Ga 2.88, 7 Mg 2.91-3.10
Sn (0.2500, 0.3068, 0.7291)  2 Ga 2.88, 7 Mg 2.91-3.10

First-principles (PBE-GGA) data for a geometry-optimized Pm5ErSb6 structure, as listed in the Alexandria database.

Formation energy without anion corrections (eV per atom): -1.168
E (eV per cell): -67.07
Space-group type: C2/m (12)
Crystal system: monoclinic
Magnetic moment (μB/f.u.): 0.0
Density of states at the Fermi level (states/eV/f.u.): 1.87

Cell: 7.7428 7.7417 7.7430 Å, 60.01 80.39 70.49°
Last column: nearest neighbours and their distance in Å.
Element x y z (fractional)
Sb (0.7537, 0.0819, 0.3285)  1 Er 3.11, 5 Pm 3.16-3.19
Sb (0.2463, 0.5896, 0.3285)  1 Er 3.11, 5 Pm 3.16-3.19
Sb (0.2482, 0.2453, 0.0000)  1 Er 3.12, 5 Pm 3.16-3.20
Sb (0.7518, 0.7547, 0.0000)  1 Er 3.12, 5 Pm 3.16-3.20
Sb (0.7537, 0.4104, 0.6715)  1 Er 3.11, 5 Pm 3.16-3.19
Sb (0.2463, 0.9181, 0.6715)  1 Er 3.11, 5 Pm 3.16-3.19
Er (0.0000, 0.0000, 0.0000)  6 Sb 3.11-3.12
Pm (0.5000, 0.1686, 0.6628)  6 Sb 3.16-3.19
Pm (0.0000, 0.3340, 0.3321)  6 Sb 3.16-3.17
Pm (0.5000, 0.5000, 0.0000)  6 Sb 3.16-3.20
Pm (0.0000, 0.6660, 0.6679)  6 Sb 3.16-3.17
Pm (0.5000, 0.8314, 0.3372)  6 Sb 3.16-3.19

First-principles (PBE-GGA) data for a geometry-optimized MgSe structure, as listed in the Alexandria database.

Formation energy without anion corrections (eV per atom): -1.150
E (eV per cell): -118.07
Space-group type: Fddd (70)
Crystal system: orthorhombic
Magnetic moment (μB/f.u.): 0.0
Density of states at the Fermi level (states/eV/f.u.): 0.00

Cell: 10.9107 11.5851 8.6100 Å, 90.00 90.00 90.00°
Last column: nearest neighbours and their distance in Å.
Element x y z (fractional)
Mg (0.0000, 0.8552, 0.0000)  4 Se 2.57-2.62
Mg (0.0000, 0.1448, 0.0000)  4 Se 2.57-2.62
Mg (0.2500, 0.8948, 0.2500)  4 Se 2.57-2.62
Mg (0.2500, 0.6052, 0.2500)  4 Se 2.57-2.62
Mg (0.0000, 0.3552, 0.5000)  4 Se 2.57-2.62
Mg (0.0000, 0.6448, 0.5000)  4 Se 2.57-2.62
Mg (0.2500, 0.3948, 0.7500)  4 Se 2.57-2.62
Mg (0.2500, 0.1052, 0.7500)  4 Se 2.57-2.62
Mg (0.5000, 0.8552, 0.5000)  4 Se 2.57-2.62
Mg (0.5000, 0.1448, 0.5000)  4 Se 2.57-2.62
Mg (0.7500, 0.8948, 0.7500)  4 Se 2.57-2.62
Mg (0.7500, 0.6052, 0.7500)  4 Se 2.57-2.62
Mg (0.5000, 0.3552, 0.0000)  4 Se 2.57-2.62
Mg (0.5000, 0.6448, 0.0000)  4 Se 2.57-2.62
Mg (0.7500, 0.3948, 0.2500)  4 Se 2.57-2.62
Mg (0.7500, 0.1052, 0.2500)  4 Se 2.57-2.62
Se (0.1845, 0.0000, 0.0000)  4 Mg 2.57-2.62
Se (0.8155, 0.0000, 0.0000)  4 Mg 2.57-2.62
Se (0.0655, 0.7500, 0.2500)  4 Mg 2.57-2.62
Se (0.4345, 0.7500, 0.2500)  4 Mg 2.57-2.62
Se (0.1845, 0.5000, 0.5000)  4 Mg 2.57-2.62
Se (0.8155, 0.5000, 0.5000)  4 Mg 2.57-2.62
Se (0.0655, 0.2500, 0.7500)  4 Mg 2.57-2.62
Se (0.4345, 0.2500, 0.7500)  4 Mg 2.57-2.62
Se (0.6845, 0.0000, 0.5000)  4 Mg 2.57-2.62
Se (0.3155, 0.0000, 0.5000)  4 Mg 2.57-2.62
Se (0.5655, 0.7500, 0.7500)  4 Mg 2.57-2.62
Se (0.9345, 0.7500, 0.7500)  4 Mg 2.57-2.62
Se (0.6845, 0.5000, 0.0000)  4 Mg 2.57-2.62
Se (0.3155, 0.5000, 0.0000)  4 Mg 2.57-2.62
Se (0.5655, 0.2500, 0.2500)  4 Mg 2.57-2.62
Se (0.9345, 0.2500, 0.2500)  4 Mg 2.57-2.62

First-principles (PBE-GGA) data for a geometry-optimized La2Mn structure, as listed in the Alexandria database.

Formation energy from the elements (meV/atom): 399
E (eV per cell): -35.66
Space-group type: P-6m2 (187)
Crystal system: hexagonal
Magnetic moment (μB/f.u.): 3.6
Density of states at the Fermi level (states/eV/f.u.): 4.19

Cell: 3.6233 3.6233 15.8055 Å, 90.00 90.00 120.00°
Last column: nearest neighbours and their distance in Å.
Element x y z (fractional)
La (0.0000, 0.0000, 0.7988)  3 Mn 3.14
La (0.0000, 0.0000, 0.2012)  3 Mn 3.14
La (0.0000, 0.0000, 0.5000)  6 Mn 3.17
La (0.6667, 0.3333, 0.0000)  12 La 3.62-3.81
Mn (0.6667, 0.3333, 0.3493)  6 La 3.14-3.17
Mn (0.6667, 0.3333, 0.6507)  6 La 3.14-3.17

First-principles (PBE-GGA) data for a geometry-optimized NdDy6Er3Tm2 structure, as listed in the Alexandria database.

Formation energy from the elements (meV/atom): 19
E (eV per cell): -54.78
Space-group type: C2/m (12)
Crystal system: monoclinic
Magnetic moment (μB/f.u.): 0.0
Density of states at the Fermi level (states/eV/f.u.): 15.46

Cell: 6.1164 6.1164 11.7165 Å, 94.97 94.97 119.95°
Last column: nearest neighbours and their distance in Å.
Element x y z (fractional)
Nd (0.0000, 0.0000, 0.0000)  6 Tm 3.53, 6 Dy 3.54-3.55
Dy (0.9156, 0.5814, 0.7485)  3 Er 3.51-3.52, 6 Dy 3.53-3.54, 2 Tm 3.54-3.55, 1 Nd 3.55
Dy (0.7501, 0.7501, 0.2513)  3 Er 3.52, 6 Dy 3.53-3.54, 1 Nd 3.54, 2 Tm 3.55
Dy (0.0844, 0.4186, 0.2515)  3 Er 3.51-3.52, 6 Dy 3.53-3.54, 2 Tm 3.54-3.55, 1 Nd 3.55
Dy (0.5814, 0.9156, 0.7485)  3 Er 3.51-3.52, 6 Dy 3.53-3.54, 2 Tm 3.54-3.55, 1 Nd 3.55
Dy (0.2499, 0.2499, 0.7487)  3 Er 3.52, 6 Dy 3.53-3.54, 1 Nd 3.54, 2 Tm 3.55
Dy (0.4186, 0.0844, 0.2515)  3 Er 3.51-3.52, 6 Dy 3.53-3.54, 2 Tm 3.54-3.55, 1 Nd 3.55
Er (0.1669, 0.8331, 0.5000)  6 Dy 3.51-3.52, 6 Er 3.53-3.54
Er (0.8331, 0.1669, 0.5000)  6 Dy 3.51-3.52, 6 Er 3.53-3.54
Er (0.5000, 0.5000, 0.5000)  6 Dy 3.52, 6 Er 3.53
Tm (0.3333, 0.6667, 0.0000)  3 Nd 3.53, 3 Tm 3.53, 6 Dy 3.54-3.55
Tm (0.6667, 0.3333, 0.0000)  3 Nd 3.53, 3 Tm 3.53, 6 Dy 3.54-3.55

First-principles (PBE-GGA) data for a geometry-optimized LiTbHgBi structure, as listed in the Alexandria database.

Formation energy from the elements (meV/atom): -465
E (eV per cell): -12.59
Space-group type: F-43m (216)
Crystal system: cubic
Magnetic moment (μB/f.u.): 0.0
Density of states at the Fermi level (states/eV/f.u.): 3.53

Cell: 5.2329 5.2329 5.2329 Å, 60.00 60.00 60.00°
Last column: nearest neighbours and their distance in Å.
Element x y z (fractional)
Li (0.0000, 0.0000, 0.0000)  4 Hg 3.20, 4 Bi 3.20
Tb (0.5000, 0.5000, 0.5000)  4 Bi 3.20, 4 Hg 3.20
Bi (0.2500, 0.2500, 0.2500)  4 Tb 3.20, 4 Li 3.20
Hg (0.7500, 0.7500, 0.7500)  4 Li 3.20, 4 Tb 3.20

First-principles (PBE-GGA) data for a geometry-optimized ScCd structure, as listed in the Alexandria database.

Formation energy from the elements (meV/atom): 18
E (eV per cell): -57.69
Space-group type: P4/m (83)
Crystal system: tetragonal
Magnetic moment (μB/f.u.): 0.3
Density of states at the Fermi level (states/eV/f.u.): 2.44

Cell: 11.1547 11.1547 3.1903 Å, 90.00 90.00 90.00°
Last column: nearest neighbours and their distance in Å.
Element x y z (fractional)
Sc (0.8467, 0.6183, 0.5000)  4 Cd 2.97-3.03, 6 Sc 3.19-3.21
Sc (0.1533, 0.3817, 0.5000)  4 Cd 2.97-3.03, 6 Sc 3.19-3.21
Sc (0.3817, 0.8467, 0.5000)  4 Cd 2.97-3.03, 6 Sc 3.19-3.21
Sc (0.6183, 0.1533, 0.5000)  4 Cd 2.97-3.03, 6 Sc 3.19-3.21
Sc (0.9060, 0.3753, 0.0000)  4 Cd 3.13-3.24, 7 Sc 3.19-3.48
Sc (0.0940, 0.6247, 0.0000)  4 Cd 3.13-3.24, 7 Sc 3.19-3.48
Sc (0.6247, 0.9060, 0.0000)  4 Cd 3.13-3.24, 7 Sc 3.19-3.48
Sc (0.3753, 0.0940, 0.0000)  4 Cd 3.13-3.24, 7 Sc 3.19-3.48
Cd (0.6686, 0.4201, 0.5000)  4 Cd 2.94-3.19, 4 Sc 2.97-3.13
Cd (0.3314, 0.5799, 0.5000)  4 Cd 2.94-3.19, 4 Sc 2.97-3.13
Cd (0.5799, 0.6686, 0.5000)  4 Cd 2.94-3.19, 4 Sc 2.97-3.13
Cd (0.4201, 0.3314, 0.5000)  4 Cd 2.94-3.19, 4 Sc 2.97-3.13
Cd (0.9075, 0.8404, 0.0000)  4 Cd 2.91-3.19, 4 Sc 3.02-3.24
Cd (0.0925, 0.1596, 0.0000)  4 Cd 2.91-3.19, 4 Sc 3.02-3.24
Cd (0.1596, 0.9075, 0.0000)  4 Cd 2.91-3.19, 4 Sc 3.02-3.24
Cd (0.8404, 0.0925, 0.0000)  4 Cd 2.91-3.19, 4 Sc 3.02-3.24

First-principles (PBE-GGA) data for a geometry-optimized La2IrPt2 structure, as listed in the Alexandria database.

Formation energy from the elements (meV/atom): -811
E (eV per cell): -69.70
Space-group type: P4/mbm (127)
Crystal system: tetragonal
Magnetic moment (μB/f.u.): 0.0
Distance to the lowest polymorph of the same formula (meV per atom): 0
Density of states at the Fermi level (states/eV/f.u.): 4.03

Cell: 7.4093 7.4093 4.1391 Å, 90.00 90.00 90.00°
Last column: nearest neighbours and their distance in Å.
Element x y z (fractional)
Ir (0.0000, 0.0000, 0.0000)  4 Pt 2.89
Ir (0.5000, 0.5000, 0.0000)  4 Pt 2.89
Pt (0.3670, 0.8670, 0.0000)  1 Pt 2.79, 6 La 2.86-3.12, 2 Ir 2.89
Pt (0.8670, 0.6330, 0.0000)  1 Pt 2.79, 6 La 2.86-3.12, 2 Ir 2.89
Pt (0.6330, 0.1330, 0.0000)  1 Pt 2.79, 6 La 2.86-3.12, 2 Ir 2.89
Pt (0.1330, 0.3670, 0.0000)  1 Pt 2.79, 6 La 2.86-3.12, 2 Ir 2.89
La (0.1791, 0.6791, 0.5000)  6 Pt 2.86-3.12
La (0.6791, 0.8209, 0.5000)  6 Pt 2.86-3.12
La (0.8209, 0.3209, 0.5000)  6 Pt 2.86-3.12
La (0.3209, 0.1791, 0.5000)  6 Pt 2.86-3.12